Entry 1:
First-principles (PBE) data for Ba3Ac5H12 after structural relaxation, as listed in the Alexandria database.

Cell lengths 13.098, 13.098, 13.098 Å; angles 109.47, 109.47, 109.47 degrees
Site moments in Bohr magnetons follow the coordinates.
Element x y z (fractional)
H 0.162 0.069 0.716  0.00
H 0.662 0.216 0.569  0.00
H 0.852 0.569 0.906  0.00
H 0.946 0.594 0.162  0.00
H 0.906 0.838 0.554  0.00
H 0.216 0.662 0.069  0.00
H 0.648 0.594 0.931  0.00
H 0.069 0.162 0.216  0.00
H 0.716 0.569 0.162  0.00
H 0.148 0.716 0.554  0.00
H 0.446 0.784 0.852  0.00
H 0.838 0.931 0.284  0.00
H 0.406 0.352 0.569  0.00
H 0.406 0.054 0.338  0.00
H 0.284 0.431 0.838  0.00
H 0.069 0.906 0.352  0.00
H 0.648 0.054 0.216  0.00
H 0.906 0.069 0.852  0.00
H 0.852 0.284 0.446  0.00
H 0.946 0.352 0.284  0.00
H 0.148 0.431 0.094  0.00
H 0.094 0.162 0.446  0.00
H 0.838 0.906 0.054  0.00
H 0.569 0.852 0.406  0.00
H 0.284 0.852 0.946  0.00
H 0.431 0.284 0.338  0.00
H 0.931 0.838 0.784  0.00
H 0.569 0.716 0.662  0.00
H 0.054 0.648 0.716  0.00
H 0.094 0.931 0.148  0.00
H 0.554 0.338 0.906  0.00
H 0.352 0.946 0.784  0.00
H 0.784 0.338 0.931  0.00
H 0.162 0.094 0.946  0.00
H 0.594 0.648 0.431  0.00
H 0.352 0.406 0.069  0.00
H 0.716 0.148 0.054  0.00
H 0.216 0.554 0.648  0.00
H 0.554 0.216 0.148  0.00
H 0.662 0.446 0.594  0.00
H 0.431 0.148 0.594  0.00
H 0.338 0.784 0.431  0.00
H 0.446 0.662 0.094  0.00
H 0.054 0.406 0.838  0.00
H 0.784 0.446 0.352  0.00
H 0.931 0.094 0.648  0.00
H 0.594 0.946 0.662  0.00
H 0.338 0.554 0.406  0.00
Ba 0.750 0.875 0.625  0.02
Ba 0.125 0.875 0.750  0.02
Ba 0.875 0.750 0.125  0.02
Ba 0.625 0.250 0.375  0.02
Ba 0.250 0.625 0.875  0.02
Ba 0.750 0.375 0.125  0.02
Ba 0.875 0.125 0.250  0.02
Ba 0.375 0.750 0.625  0.02
Ba 0.375 0.625 0.250  0.02
Ba 0.625 0.375 0.750  0.02
Ba 0.125 0.250 0.875  0.02
Ba 0.250 0.125 0.375  0.02
Ac 0.125 0.750 0.375  0.06
Ac 0.875 0.250 0.625  0.06
Ac 0.000 0.500 0.500  0.06
Ac 0.250 0.375 0.625  0.06
Ac 0.500 0.000 0.000  0.06
Ac 0.000 0.000 0.000  0.06
Ac 0.000 0.000 0.500  0.06
Ac 0.375 0.125 0.750  0.06
Ac 0.250 0.875 0.125  0.06
Ac 0.625 0.750 0.875  0.06
Ac 0.750 0.125 0.875  0.06
Ac 0.375 0.250 0.125  0.06
Ac 0.500 0.500 0.500  0.06
Ac 0.875 0.625 0.750  0.06
Ac 0.000 0.500 0.000  0.06
Ac 0.625 0.875 0.250  0.06
Ac 0.500 0.500 0.000  0.06
Ac 0.125 0.375 0.250  0.06
Ac 0.750 0.625 0.375  0.06
Ac 0.500 0.000 0.500  0.06

Space group: Ia-3d, No. 230
Total magnetization: 1.4 μB per formula unit
Electronic total energy: -292.07 eV for the cell shown

Entry 2:
First-principles (PBE) data for Y3Hg2 after structural relaxation, as listed in the Alexandria database.

Cell lengths 12.420, 12.420, 12.420 Å; angles 17.19, 17.19, 17.19 degrees
Site moments in Bohr magnetons follow the coordinates.
Element x y z (fractional)
Y 0.794 0.794 0.794  0.19
Y 0.206 0.206 0.206  0.19
Y 0.000 0.000 0.000  0.02
Hg 0.396 0.396 0.396  0.00
Hg 0.604 0.604 0.604  0.00

Space group: R-3m, No. 166
Total magnetization: 0.8 μB per formula unit
ΔH_f (0 K): -0.293 eV per atom

Entry 3:
First-principles (PBE) data for KTc3Ru after structural relaxation, as listed in the Alexandria database.

Cell lengths 4.796, 4.796, 4.796 Å; angles 90.00, 90.00, 90.00 degrees
Site moments in Bohr magnetons follow the coordinates.
Element x y z (fractional)
Ru 0.000 0.000 0.000  -0.09
Tc 0.000 0.000 0.500  1.11
Tc 0.500 0.000 0.000  0.74
Tc 0.000 0.500 0.000  1.04
K 0.500 0.500 0.500  0.01

Space group: Pm-3m, No. 221
Total magnetization: 3.2 μB per formula unit
ΔH_f (0 K): 1.706 eV per atom
Relative energy among the computed polymorphs: 0.0 meV/atom

Entry 4:
First-principles (PBE) data for GaNiI after structural relaxation, as listed in the Alexandria database.

Cell lengths 3.702, 3.702, 10.207 Å; angles 93.10, 93.10, 94.18 degrees
Element x y z (fractional)
I 0.746 0.746 0.329
I 0.254 0.254 0.671
Ga 0.357 0.357 0.122
Ga 0.643 0.643 0.878
Ni 0.865 0.865 0.094
Ni 0.135 0.135 0.906

Space group: C2/m, No. 12
Total magnetization: 0.0 μB per formula unit
Uncorrected formation energy: -54.8 meV/atom

Entry 5:
First-principles (PBE) data for Sr4Sn8Pd after structural relaxation, as listed in the Alexandria database.

Cell lengths 4.778, 4.762, 17.319 Å; angles 90.00, 90.00, 90.00 degrees
Element x y z (fractional)
Sr 0.000 0.500 0.609
Sr 0.500 0.000 0.916
Sr 0.500 0.500 0.392
Sr 0.000 0.000 0.087
Sn 0.000 0.500 0.895
Sn 0.500 0.000 0.559
Sn 0.000 0.000 0.456
Sn 0.500 0.500 0.100
Sn 0.000 0.500 0.228
Sn 0.500 0.500 0.766
Sn 0.500 0.000 0.231
Sn 0.000 0.000 0.764
Pd 0.000 0.000 0.301

Space group: Pmm2, No. 25
Total magnetization: 0.0 μB per formula unit
ΔH_f (0 K): -0.480 eV per atom

Entry 6:
First-principles (PBE) data for In3Te5 after structural relaxation, as listed in the Alexandria database.

Cell lengths 6.394, 6.394, 5.928 Å; angles 90.00, 90.00, 103.07 degrees
Element x y z (fractional)
In 0.205 0.795 0.500
In 0.500 0.500 0.000
In 0.795 0.205 0.500
Te 0.000 0.000 0.000
Te 0.310 0.310 0.500
Te 0.000 0.500 0.000
Te 0.500 0.000 0.000
Te 0.690 0.690 0.500

Space group: Cmmm, No. 65
Total magnetization: 0.0 μB per formula unit
Uncorrected formation energy: -6.9 meV/atom
Relative energy among the computed polymorphs: 82.6 meV/atom